# HfMn2SeF PBE with a Hubbard U relaxed
# Space-group type: P4/mmm
# Uncorrected energy in Ry per atom: -0.4149
data_HfMn2SeF
_chemical_formula_sum 'Hf1 Mn2 Se1 F1'
_space_group_name_H-M_alt 'P 1'
_space_group_IT_number 1
_cell_length_a 4.9586
_cell_length_b 4.9530
_cell_length_c 4.9586
_cell_angle_alpha 90.00
_cell_angle_beta 90.00
_cell_angle_gamma 90.00
loop_
_space_group_symop_operation_xyz
'x,y,z'
loop_
_atom_site_label
_atom_site_fract_x
_atom_site_fract_y
_atom_site_fract_z
Mn1 0.0000 0.0000 0.5000
Mn2 0.5000 0.0000 0.0000
Hf1 0.0000 0.5000 0.0000
Se1 0.0000 0.0000 0.0000
F1 0.5000 0.5000 0.5000